(1)
Entry from the Alexandria database: a relaxed structure of Be2CdAu (PBE).

Its formation energy is 0.15 eV per atom. For the total energy, the calculation gives -2.758 eV/atom. As for the mass density: 9.9 g/cm3.

The space group is P4/mmm (No. 123) and the conventional cell measures 4.154, 4.154 and 3.178 Å, with angles of 90.00, 90.00 and 90.00 degrees. Symmetry generates all atoms from Be at (0.000, 0.500, 0.000), Cd at (0.000, 0.000, 0.500) and Au at (0.500, 0.500, 0.500).


(2)
Entry from the Alexandria database: a relaxed structure of BeCd3Au4 (PBE).

Its formation energy is -0.16 eV per atom. For the total energy, the calculation gives -2.607 eV/atom. As for the mass density: 13.3 g/cm3.

The space group is P4/mmm (No. 123) and the conventional cell measures 3.039, 3.039 and 15.379 Å, with angles of 90.00, 90.00 and 90.00 degrees. Symmetry generates all atoms from Be at (0.000, 0.000, 0.000), Cd at (0.000, 0.000, 0.230), Cd at (0.000, 0.000, 0.500), Au at (0.500, 0.500, 0.092) and Au at (0.500, 0.500, 0.365).


(3)
Entry from the Alexandria database: a relaxed structure of Be2Cd3Au7 (PBE).

Its formation energy is -0.05 eV per atom. For the total energy, the calculation gives -2.810 eV/atom. As for the mass density: 13.0 g/cm3.

The space group is Cmmm (No. 65) and the conventional cell measures 4.462, 23.107 and 4.286 Å, with angles of 90.00, 90.00 and 90.00 degrees. Symmetry generates all atoms from Be at (0.000, 0.120, 0.000), Cd at (0.000, 0.317, 0.500), Cd at (0.000, 0.500, 0.500), Au at (0.000, 0.000, 0.000), Au at (0.000, 0.085, 0.500), Au at (0.000, 0.216, 0.000) and Au at (0.000, 0.412, 0.000).


(4)
Entry from the Alexandria database: a relaxed structure of BeCdAu (PBE).

Its formation energy is 0.07 eV per atom. For the total energy, the calculation gives -2.566 eV/atom. As for the mass density: 10.3 g/cm3.

The space group is F-43m (No. 216) and the conventional cell measures 5.900, 5.900 and 5.900 Å, with angles of 90.00, 90.00 and 90.00 degrees. Symmetry generates all atoms from Be at (0.000, 0.000, 0.000), Cd at (0.250, 0.250, 0.750) and Au at (0.250, 0.250, 0.250).


(5)
Entry from the Alexandria database: a relaxed structure of BeCd2Au (PBE).

Its formation energy is 0.02 eV per atom. For the total energy, the calculation gives -2.187 eV/atom. As for the mass density: 10.2 g/cm3.

The space group is P4mm (No. 99) and the conventional cell measures 3.115, 3.115 and 7.227 Å, with angles of 90.00, 90.00 and 90.00 degrees. Symmetry generates all atoms from Be at (0.000, 0.000, 0.000), Cd at (0.000, 0.000, 0.570), Cd at (0.500, 0.500, 0.265) and Au at (0.500, 0.500, 0.860).


(6)
Entry from the Alexandria database: a relaxed structure of Be2CdCoAu (PBE).

Its formation energy is 0.73 eV per atom. For the total energy, the calculation gives -3.018 eV/atom. As for the mass density: 7.1 g/cm3.

The space group is P4/mmm (No. 123) and the conventional cell measures 4.309, 4.309 and 4.866 Å, with angles of 90.00, 90.00 and 90.00 degrees. Symmetry generates all atoms from Be at (0.000, 0.500, 0.000), Cd at (0.000, 0.000, 0.500), Co at (0.500, 0.500, 0.500) and Au at (0.500, 0.500, 0.000).